(1)
The following is a DFT calculation (PBE) of YHo2Sc3 after structural relaxation.

Calculated values
Its total energy is -5.7107 eV per atom.

Structure (CIF):
```
data_YHo2Sc3
_chemical_formula_sum 'Y2 Ho4 Sc6'
_cell_length_a 5.955
_cell_length_b 3.436
_cell_length_c 16.506
_cell_angle_alpha 90.00
_cell_angle_beta 96.93
_cell_angle_gamma 90.00
_space_group_name_H-M_alt 'P 1 21/m 1'
_space_group_IT_number 11
loop_
_space_group_symop_operation_xyz
'x,y,z'
'-x,-y,-z'
'-x,y+1/2,-z'
'x,-y+1/2,z'
loop_
_atom_site_label
_atom_site_fract_x
_atom_site_fract_y
_atom_site_fract_z
_atom_site_occupancy
Y1 0.028 0.250 0.333 1
Ho1 0.250 0.250 0.000 1
Ho2 0.473 0.250 0.667 1
Sc1 0.140 0.750 0.166 1
Sc2 0.252 0.750 0.501 1
Sc3 0.362 0.750 0.833 1
```



(2)
The following is a DFT calculation (PBE) of Y4HoSc2 after structural relaxation.

Calculated values
The energy above the lowest structure with this stoichiometry is 0 meV per atom. Its total energy is -6.0115 eV per atom.

Structure (CIF):
```
data_Y4HoSc2
_chemical_formula_sum 'Y8 Ho2 Sc4'
_cell_length_a 5.458
_cell_length_b 6.826
_cell_length_c 11.644
_cell_angle_alpha 90.00
_cell_angle_beta 103.56
_cell_angle_gamma 90.00
_space_group_name_H-M_alt 'P 1 21/m 1'
_space_group_IT_number 11
loop_
_space_group_symop_operation_xyz
'x,y,z'
'-x,-y,-z'
'-x,y+1/2,-z'
'x,-y+1/2,z'
loop_
_atom_site_label
_atom_site_fract_x
_atom_site_fract_y
_atom_site_fract_z
_atom_site_occupancy
Y1 0.073 0.250 0.148 1
Y2 0.216 0.750 0.432 1
Y3 0.355 0.000 0.710 1
Ho1 0.075 0.750 0.146 1
Sc1 0.214 0.250 0.427 1
Sc2 0.498 0.250 0.999 1
```



(3)
The following is a DFT calculation (PBE) of Y3HoSc8 after structural relaxation.

Calculated values
Its total energy is -5.5281 eV per atom.

Structure (CIF):
```
data_Y3HoSc8
_chemical_formula_sum 'Y6 Ho2 Sc16'
_cell_length_a 8.318
_cell_length_b 8.318
_cell_length_c 10.516
_cell_angle_alpha 90.00
_cell_angle_beta 90.00
_cell_angle_gamma 90.00
_space_group_name_H-M_alt 'I -4 2 m'
_space_group_IT_number 121
_space_group_name_Hall 'I -4 2'
loop_
_atom_site_label
_atom_site_fract_x
_atom_site_fract_y
_atom_site_fract_z
_atom_site_occupancy
Y1 0.000 0.000 0.000 1
Y2 0.000 0.500 0.250 1
Ho1 0.000 0.000 0.500 1
Sc1 0.125 0.125 0.744 1
Sc2 0.242 0.242 0.485 1
```



(4)
The following is a DFT calculation (PBE) of Y8Ho3Sc4 after structural relaxation.

Calculated values
Its total energy is -5.6613 eV per atom.

Structure (CIF):
```
data_Y8Ho3Sc4
_chemical_formula_sum 'Y16 Ho6 Sc8'
_cell_length_a 13.059
_cell_length_b 11.878
_cell_length_c 6.610
_cell_angle_alpha 90.00
_cell_angle_beta 115.66
_cell_angle_gamma 90.00
_space_group_name_H-M_alt 'C 1 2/m 1'
_space_group_IT_number 12
loop_
_space_group_symop_operation_xyz
'x,y,z'
'-x,-y,-z'
'-x,y,-z'
'x,-y,z'
'x+1/2,y+1/2,z'
'-x+1/2,-y+1/2,-z'
'-x+1/2,y+1/2,-z'
'x+1/2,-y+1/2,z'
loop_
_atom_site_label
_atom_site_fract_x
_atom_site_fract_y
_atom_site_fract_z
_atom_site_occupancy
Y1 0.000 0.204 0.000 1
Y2 0.000 0.262 0.500 1
Y3 0.203 0.000 0.163 1
Y4 0.233 0.500 0.303 1
Ho1 0.000 0.000 0.500 1
Ho2 0.250 0.250 0.000 1
Sc1 0.000 0.500 0.000 1
Sc2 0.000 0.500 0.500 1
Sc3 0.250 0.250 0.500 1
```



(5)
The following is a DFT calculation (PBE) of YHoSc2 after structural relaxation.

Calculated values
The energy above the lowest structure with this stoichiometry is 4 meV per atom. Its total energy is -5.8684 eV per atom.

Structure (CIF):
```
data_YHoSc2
_chemical_formula_sum 'Y2 Ho2 Sc4'
_cell_length_a 6.901
_cell_length_b 9.373
_cell_length_c 3.449
_cell_angle_alpha 90.00
_cell_angle_beta 90.00
_cell_angle_gamma 90.00
_space_group_name_H-M_alt 'C m m m'
_space_group_IT_number 65
_space_group_name_Hall '-C 2 2'
loop_
_atom_site_label
_atom_site_fract_x
_atom_site_fract_y
_atom_site_fract_z
_atom_site_occupancy
Y1 0.000 0.000 0.000 1
Ho1 0.000 0.500 0.000 1
Sc1 0.250 0.250 0.500 1
```



(6)
The following is a DFT calculation (PBE) of Y2Ho5Sc4 after structural relaxation.

Calculated values
The energy above the lowest structure with this stoichiometry is 0 meV per atom. Its total energy is -5.4430 eV per atom.

Structure (CIF):
```
data_Y2Ho5Sc4
_chemical_formula_sum 'Y2 Ho5 Sc4'
_cell_length_a 8.670
_cell_length_b 3.499
_cell_length_c 10.760
_cell_angle_alpha 90.00
_cell_angle_beta 95.11
_cell_angle_gamma 90.00
_space_group_name_H-M_alt 'P 1 2/m 1'
_space_group_IT_number 10
loop_
_space_group_symop_operation_xyz
'x,y,z'
'-x,-y,-z'
'-x,y,-z'
'x,-y,z'
loop_
_atom_site_label
_atom_site_fract_x
_atom_site_fract_y
_atom_site_fract_z
_atom_site_occupancy
Y1 0.075 0.000 0.137 1
Ho1 0.148 0.000 0.633 1
Ho2 0.453 0.000 0.169 1
Ho3 0.500 0.000 0.500 1
Sc1 0.201 0.500 0.373 1
Sc2 0.251 0.500 0.927 1
```



(7)
The following is a DFT calculation (PBE) of Y2Ho4Sc3 after structural relaxation.

Calculated values
The energy above the lowest structure with this stoichiometry is 71 meV per atom. Its total energy is -5.4833 eV per atom.

Structure (CIF):
```
data_Y2Ho4Sc3
_chemical_formula_sum 'Y8 Ho16 Sc12'
_cell_length_a 13.188
_cell_length_b 12.975
_cell_length_c 6.211
_cell_angle_alpha 90.00
_cell_angle_beta 94.65
_cell_angle_gamma 90.00
_space_group_name_H-M_alt 'C 1 2/c 1'
_space_group_IT_number 15
loop_
_space_group_symop_operation_xyz
'x,y,z'
'-x,-y,-z'
'-x,y,-z+1/2'
'x,-y,z+1/2'
'x+1/2,y+1/2,z'
'-x+1/2,-y+1/2,-z'
'-x+1/2,y+1/2,-z+1/2'
'x+1/2,-y+1/2,z+1/2'
loop_
_atom_site_label
_atom_site_fract_x
_atom_site_fract_y
_atom_site_fract_z
_atom_site_occupancy
Y1 0.214 0.060 0.072 1
Ho1 0.105 0.299 0.120 1
Ho2 0.126 0.185 0.615 1
Sc1 0.000 0.035 0.250 1
Sc2 0.088 0.434 0.592 1
```



(8)
The following is a DFT calculation (PBE) of Y2Ho12Sc after structural relaxation.

Calculated values
Its total energy is -4.8226 eV per atom.

Structure (CIF):
```
data_Y2Ho12Sc
_chemical_formula_sum 'Y8 Ho48 Sc4'
_cell_length_a 6.981
_cell_length_b 11.200
_cell_length_c 24.135
_cell_angle_alpha 90.00
_cell_angle_beta 97.95
_cell_angle_gamma 90.00
_space_group_name_H-M_alt 'C 1 2/m 1'
_space_group_IT_number 12
loop_
_space_group_symop_operation_xyz
'x,y,z'
'-x,-y,-z'
'-x,y,-z'
'x,-y,z'
'x+1/2,y+1/2,z'
'-x+1/2,-y+1/2,-z'
'-x+1/2,y+1/2,-z'
'x+1/2,-y+1/2,z'
loop_
_atom_site_label
_atom_site_fract_x
_atom_site_fract_y
_atom_site_fract_z
_atom_site_occupancy
Y1 0.016 0.000 0.277 1
Y2 0.019 0.500 0.272 1
Ho1 0.068 0.233 0.933 1
Ho2 0.099 0.243 0.444 1
Ho3 0.158 0.500 0.580 1
Ho4 0.161 0.500 0.115 1
Ho5 0.165 0.000 0.571 1
Ho6 0.192 0.000 0.147 1
Ho7 0.207 0.254 0.672 1
Ho8 0.240 0.274 0.197 1
Sc1 0.248 0.000 0.015 1
```



(9)
The following is a DFT calculation (PBE) of Y5Ho6Sc after structural relaxation.

Calculated values
Its total energy is -5.4763 eV per atom.

Structure (CIF):
```
data_Y5Ho6Sc
_chemical_formula_sum 'Y10 Ho12 Sc2'
_cell_length_a 4.972
_cell_length_b 9.965
_cell_length_c 14.972
_cell_angle_alpha 90.00
_cell_angle_beta 90.00
_cell_angle_gamma 90.00
_space_group_name_H-M_alt 'I m m m'
_space_group_IT_number 71
_space_group_name_Hall '-I 2 2'
loop_
_atom_site_label
_atom_site_fract_x
_atom_site_fract_y
_atom_site_fract_z
_atom_site_occupancy
Y1 0.000 0.000 0.000 1
Y2 0.000 0.000 0.336 1
Y3 0.000 0.500 0.334 1
Ho1 0.000 0.246 0.500 1
Ho2 0.000 0.252 0.166 1
Sc1 0.000 0.500 0.000 1
```



(10)
The following is a DFT calculation (PBE) of Y15HoSc4 after structural relaxation.

Calculated values
Its total energy is -6.2984 eV per atom.

Structure (CIF):
```
data_Y15HoSc4
_chemical_formula_sum 'Y15 Ho1 Sc4'
_cell_length_a 4.966
_cell_length_b 4.966
_cell_length_c 24.772
_cell_angle_alpha 90.00
_cell_angle_beta 90.00
_cell_angle_gamma 90.00
_space_group_name_H-M_alt 'P 4/m m m'
_space_group_IT_number 123
_space_group_name_Hall '-P 4 2'
loop_
_atom_site_label
_atom_site_fract_x
_atom_site_fract_y
_atom_site_fract_z
_atom_site_occupancy
Y1 0.000 0.000 0.000 1
Y2 0.000 0.000 0.203 1
Y3 0.000 0.000 0.401 1
Y4 0.000 0.500 0.103 1
Y5 0.000 0.500 0.301 1
Y6 0.000 0.500 0.500 1
Ho1 0.500 0.500 0.000 1
Sc1 0.500 0.500 0.202 1
Sc2 0.500 0.500 0.401 1
```



(11)
The following is a DFT calculation (PBE) of Y12Ho7Sc after structural relaxation.

Calculated values
The energy above the lowest structure with this stoichiometry is 59 meV per atom. Its total energy is -5.5639 eV per atom.

Structure (CIF):
```
data_Y12Ho7Sc
_chemical_formula_sum 'Y36 Ho21 Sc3'
_cell_length_a 19.2778
_cell_length_b 19.2778
_cell_length_c 6.1085
_cell_angle_alpha 90.00
_cell_angle_beta 90.00
_cell_angle_gamma 120.00
_space_group_name_H-M_alt 'R -3'
_space_group_IT_number 148
_space_group_name_Hall '-R 3'
loop_
_atom_site_label
_atom_site_fract_x
_atom_site_fract_y
_atom_site_fract_z
_atom_site_occupancy
Y1 0.9997 0.4141 0.9999 1
Y2 0.0989 0.5492 0.4740 1
Ho1 0.0000 0.0000 0.0000 1
Ho2 0.0804 0.1614 0.3058 1
Sc1 0.0000 0.0000 0.5000 1
```



(12)
The following is a DFT calculation (PBE) of Y4Ho2Sc after structural relaxation.

Calculated values
The energy above the lowest structure with this stoichiometry is 0 meV per atom. Its total energy is -5.8907 eV per atom.

Structure (CIF):
```
data_Y4Ho2Sc
_chemical_formula_sum 'Y8 Ho4 Sc2'
_cell_length_a 6.224
_cell_length_b 8.346
_cell_length_c 9.091
_cell_angle_alpha 84.23
_cell_angle_beta 89.99
_cell_angle_gamma 68.12
_space_group_name_H-M_alt 'P 1'
_space_group_IT_number 1
loop_
_space_group_symop_operation_xyz
'x,y,z'
loop_
_atom_site_label
_atom_site_fract_x
_atom_site_fract_y
_atom_site_fract_z
_atom_site_occupancy
Y1 0.000 0.000 0.000 1
Y2 0.038 0.576 0.068 1
Y3 0.135 0.718 0.705 1
Y4 0.278 0.440 0.419 1
Y5 0.327 0.001 0.489 1
Y6 0.431 0.138 0.139 1
Y7 0.711 0.578 0.559 1
Y8 0.754 0.144 0.635 1
Ho1 0.186 0.288 0.780 1
Ho2 0.563 0.858 0.854 1
Ho3 0.611 0.434 0.924 1
Ho4 0.846 0.289 0.279 1
Sc1 0.472 0.717 0.209 1
Sc2 0.902 0.860 0.349 1
```



Computed values of M_tot (unit: μB/cell) for the preceding records, in sequence: 0.0, 0.0, 0.0, 1.4, 0.0, 0.0, 0.0, 0.0, 0.0, 0.0, 0.0, 0.0.